TbPuSe2: relaxed, GGA-PBE.

Values from the calculation:
ΔE to the lowest computed polymorph (eV per atom): 0.086
E_tot (eV/atom): -8.076
E_form (uncorrected) (meV per atom): -1593.4
Space-group type: No. 160

Cell and atoms, written as POSCAR:
```
TbPuSe2
1.0
1.993 1.151 7.277
-1.993 1.151 7.277
0.000 -2.301 7.277
Tb Pu Se
1 1 2
Direct
0.000 0.000 0.000 Tb
0.174 0.174 0.174 Pu
0.587 0.587 0.587 Se
0.753 0.753 0.753 Se
```